Below is a relaxed Nb4AsSe5 crystal, with properties calculated at the PBE level.

The structure belongs to space group C2/m (No. 12); the cell edges are 16.3091, 3.5568 and 7.5474 Å and the angles 90.00°, 101.98° and 90.00°. Symmetry generates all atoms from Nb at (0.0211, 0.0000, 0.2722), Nb at (0.1707, 0.5000, 0.5423), As at (0.0000, 0.5000, 0.5000), Se at (0.0000, 0.5000, 0.0000), Se at (0.1487, 0.0000, 0.7926) and Se at (0.1785, 0.0000, 0.2794).

Its density of states at the Fermi level is 11.4 states/eV/cell. The value obtained for the uncorrected formation energy is -625 meV per atom. The value obtained for the total energy is -6.860 eV per atom.

Below is a relaxed NiBi crystal, with properties calculated at the PBE level.

The structure belongs to space group P6_3/mmc (No. 194); the cell edges are 4.1855, 4.1855 and 5.2351 Å and the angles 90.00°, 90.00° and 120.00°. Symmetry generates all atoms from Ni at (0.0000, 0.0000, 0.0000) and Bi at (0.3333, 0.6667, 0.2500).

Its density of states at the Fermi level is 3.0 states/eV/cell. The value obtained for the total energy is -4.850 eV per atom.

Below is a relaxed CrN2 crystal, with properties calculated at the PBE level.

The structure belongs to space group Pc (No. 7); the cell edges are 4.6431, 4.5865 and 8.5591 Å and the angles 90.00°, 114.79° and 90.00°. Symmetry generates all atoms from Cr at (0.0000, 0.0317, 0.0000), Cr at (0.7063, 0.3616, 0.6232), N at (0.3585, 0.2119, 0.5946), N at (0.7231, 0.2306, 0.4275), N at (0.8573, 0.2863, 0.0996) and N at (0.9762, 0.2114, 0.8171).

Its density of states at the Fermi level is 1.1 states/eV/cell. The value obtained for the uncorrected formation energy is 374 meV per atom. The value obtained for the total energy is -8.384 eV per atom.

Below is a relaxed RbAl6 crystal, with properties calculated at the PBE level.

The structure belongs to space group Im-3m (No. 229); the cell edges are 7.4492, 7.4492 and 7.4492 Å and the angles 90.00°, 90.00° and 90.00°. Symmetry generates all atoms from Rb at (0.0000, 0.0000, 0.0000) and Al at (0.0000, 0.2500, 0.5000).

Its density of states at the Fermi level is 11.6 states/eV/cell. The value obtained for the total energy is -2.955 eV per atom.

Below is a relaxed Ba2NaZn3F12 crystal, with properties calculated at the PBE level.

The structure belongs to space group R-3m (No. 166, hexagonal axes); the cell edges are 7.4118, 7.4118 and 17.1322 Å and the angles 90.00°, 90.00° and 120.00°. Symmetry generates all atoms from Ba at (0.0000, 0.0000, 0.1151), Na at (0.0000, 0.0000, 0.5000), Zn at (0.0000, 0.5000, 0.0000), F at (0.0462, 0.5231, 0.8847) and F at (0.0548, 0.5274, 0.3122).

Its density of states at the Fermi level is 36.2 states/eV/cell. The value obtained for the uncorrected formation energy is -2715 meV per atom. The value obtained for the total energy is -4.462 eV per atom.

Below is a relaxed AlNi2W crystal, with properties calculated at the PBE level.

The structure belongs to space group Immm (No. 71); the cell edges are 2.8827, 4.3616 and 8.3115 Å and the angles 90.00°, 90.00° and 90.00°. Symmetry generates all atoms from Al at (0.0000, 0.0000, 0.0000), Ni at (0.0000, 0.5000, 0.2597) and W at (0.0000, 0.0000, 0.5000).

Its density of states at the Fermi level is 7.9 states/eV/cell. The value obtained for the total energy is -7.065 eV per atom.

Below is a relaxed Zr4H3N crystal, with properties calculated at the PBE level.

The structure belongs to space group P2/c (No. 13); the cell edges are 5.4878, 6.6587 and 5.5646 Å and the angles 90.00°, 105.76° and 90.00°. Symmetry generates all atoms from Zr at (0.2434, 0.1197, 0.4903), Zr at (0.2463, 0.3710, 0.9922), H at (0.0000, 0.3726, 0.2500), H at (0.5000, 0.1223, 0.2500), H at (0.5000, 0.3768, 0.7500) and N at (0.0000, 0.1244, 0.7500).

Its density of states at the Fermi level is 8.2 states/eV/cell. As for the polymorph energy (0 for the lowest one): 0.00 eV/f.u. The value obtained for the total energy is -7.277 eV per atom.

Below is a relaxed SrGa4Cu2 crystal, with properties calculated at the PBE level.

The structure belongs to space group Cmmm (No. 65); the cell edges are 4.3813, 13.9033 and 4.3728 Å and the angles 90.00°, 90.00° and 90.00°. Symmetry generates all atoms from Sr at (0.0000, 0.0000, 0.0000), Ga at (0.0000, 0.1809, 0.5000), Ga at (0.0000, 0.3154, 0.0000) and Cu at (0.0000, 0.4085, 0.5000).

Its density of states at the Fermi level is 3.3 states/eV/cell. As for the polymorph energy (0 for the lowest one): 0.44 eV/f.u. The value obtained for the total energy is -3.363 eV per atom.